# 1
Density functional theory data (PBE) for a relaxed structure of Y2MoIr.

The structure in POSCAR format:
```
Y2MoIr
1.0
1.6395 0.9466 9.1653
-1.6395 0.9466 9.1653
0.0000 -1.8932 9.1653
Y Mo Ir
2 1 1
Cartesian
0.0000 0.0000 6.7662
0.0000 0.0000 20.7296
0.0000 0.0000 0.0000
0.0000 0.0000 13.7479
```

Values from the calculation:
SG: R-3m
DFT formation energy (eV per atom): 0.267

# 2
Density functional theory data (PBE) for a relaxed structure of YMoIr2.

The structure in POSCAR format:
```
YMoIr2
1.0
0.0000 3.2816 3.2816
3.2816 0.0000 3.2816
3.2816 3.2816 0.0000
Y Mo Ir
1 1 2
Cartesian
0.0000 0.0000 0.0000
3.2816 3.2816 3.2816
1.6408 1.6408 1.6408
4.9224 4.9224 4.9224
```

Values from the calculation:
SG: Fm-3m
Polymorph energy (0 for the lowest one) (meV/atom): 307
DFT formation energy (eV per atom): -0.029

# 3
Density functional theory data (PBE) for a relaxed structure of Y2MoIr.

The structure in POSCAR format:
```
Y2MoIr
1.0
2.0959 1.2101 7.1520
-2.0959 1.2101 7.1520
0.0000 -2.4201 7.1520
Y Mo Ir
2 1 1
Cartesian
0.0000 0.0000 0.0000
0.0000 0.0000 4.0284
0.0000 0.0000 16.1320
0.0000 0.0000 9.3907
```

Values from the calculation:
SG: R3m
DFT formation energy (eV per atom): -0.084

# 4
Density functional theory data (PBE) for a relaxed structure of Y2MoIr.

The structure in POSCAR format:
```
Y2MoIr
1.0
0.0000 3.4123 3.4123
3.4123 0.0000 3.4123
3.4123 3.4123 0.0000
Y Mo Ir
2 1 1
Cartesian
0.0000 0.0000 0.0000
1.7061 1.7061 1.7061
5.1184 5.1184 5.1184
3.4123 3.4123 3.4123
```

Values from the calculation:
SG: F-43m
DFT formation energy (eV per atom): 0.135

# 5
Density functional theory data (PBE) for a relaxed structure of YMoIr.

The structure in POSCAR format:
```
YMoIr
1.0
4.2214 0.0000 0.0000
-2.1107 3.6559 0.0000
0.0000 0.0000 4.3146
Y Mo Ir
1 1 1
Cartesian
0.0000 0.0000 0.0000
0.0000 2.4372 2.2139
2.1107 1.2186 2.0534
```

Values from the calculation:
SG: P3m1
Polymorph energy (0 for the lowest one) (meV/atom): 0
DFT formation energy (eV per atom): -0.138

# 6
Density functional theory data (PBE) for a relaxed structure of YMo2Ir.

The structure in POSCAR format:
```
YMo2Ir
1.0
5.2267 -1.5318 0.0000
5.2267 1.5318 0.0000
-1.3416 0.0000 4.5749
Y Mo Ir
1 2 1
Cartesian
0.0000 0.0000 0.0000
1.4425 0.0000 3.2166
7.6694 0.0000 1.3582
4.5559 0.0000 2.2874
```

Values from the calculation:
SG: C2/m
Polymorph energy (0 for the lowest one) (meV/atom): 98
DFT formation energy (eV per atom): 0.088

# 7
Density functional theory data (PBE) for a relaxed structure of YMo2Ir.

The structure in POSCAR format:
```
YMo2Ir
1.0
3.8542 0.0000 0.0000
0.0000 3.8542 0.0000
0.0000 0.0000 4.8807
Y Mo Ir
1 2 1
Cartesian
0.0000 0.0000 0.0000
0.0000 1.9271 2.4403
1.9271 0.0000 2.4403
1.9271 1.9271 0.0000
```

Values from the calculation:
SG: P4/mmm
Polymorph energy (0 for the lowest one) (meV/atom): 161
DFT formation energy (eV per atom): 0.151

# 8
Density functional theory data (PBE) for a relaxed structure of YMo2Ir.

The structure in POSCAR format:
```
YMo2Ir
1.0
-1.6275 2.4395 4.5399
1.6275 -2.4395 4.5399
1.6275 2.4395 -4.5399
Y Mo Ir
1 2 1
Cartesian
0.0000 0.0000 0.0000
1.6275 0.0000 2.4983
0.0000 0.0000 4.4413
0.0000 2.4395 2.1016
```

Values from the calculation:
SG: Imm2
Polymorph energy (0 for the lowest one) (meV/atom): 147
DFT formation energy (eV per atom): 0.137

# 9
Density functional theory data (PBE) for a relaxed structure of YMoIr2.

The structure in POSCAR format:
```
YMoIr2
1.0
2.9848 0.0000 0.0000
0.0000 4.6729 0.0000
-0.8132 0.0000 5.0310
Y Mo Ir
1 1 2
Cartesian
0.0000 0.0000 0.0000
0.1678 2.3364 3.0339
1.4986 2.3364 0.6244
1.4307 0.0000 2.4497
```

Values from the calculation:
SG: Pm
Polymorph energy (0 for the lowest one) (meV/atom): 90
DFT formation energy (eV per atom): -0.246

# 10
Density functional theory data (PBE) for a relaxed structure of YMoIr4.

The structure in POSCAR format:
```
YMoIr4
1.0
0.0000 3.7081 3.7081
3.7081 0.0000 3.7081
3.7081 3.7081 0.0000
Y Mo Ir
1 1 4
Cartesian
0.0000 0.0000 0.0000
1.8541 1.8541 1.8541
4.6359 2.7803 2.7803
2.7803 4.6359 2.7803
2.7803 2.7803 4.6359
4.6359 4.6359 4.6359
```

Values from the calculation:
SG: F-43m
DFT formation energy (eV per atom): -0.166

# 11
Density functional theory data (PBE) for a relaxed structure of Zn2MoIr.

The structure in POSCAR format:
```
Zn2MoIr
1.0
2.8468 0.0000 0.0000
0.0000 4.5194 0.0000
0.0000 0.0000 4.6381
Zn Mo Ir
2 1 1
Cartesian
0.0000 0.0000 0.0000
1.4234 0.0000 2.3190
0.0000 2.2597 2.3190
1.4234 2.2597 0.0000
```

Values from the calculation:
SG: Pmmm
Polymorph energy (0 for the lowest one) (meV/atom): 201
DFT formation energy (eV per atom): 0.048

# 12
Density functional theory data (PBE) for a relaxed structure of Zn2MoIr.

The structure in POSCAR format:
```
Zn2MoIr
1.0
1.3983 0.8073 8.9867
-1.3983 0.8073 8.9867
0.0000 -1.6146 8.9867
Zn Mo Ir
2 1 1
Cartesian
0.0000 0.0000 0.0000
0.0000 0.0000 6.6042
0.0000 0.0000 13.2962
0.0000 0.0000 20.1818
```

Values from the calculation:
SG: R3m
Polymorph energy (0 for the lowest one) (meV/atom): 120
DFT formation energy (eV per atom): -0.033

Copy entry 9 word for word.
Density functional theory data (PBE) for a relaxed structure of YMoIr2.

The structure in POSCAR format:
```
YMoIr2
1.0
2.9848 0.0000 0.0000
0.0000 4.6729 0.0000
-0.8132 0.0000 5.0310
Y Mo Ir
1 1 2
Cartesian
0.0000 0.0000 0.0000
0.1678 2.3364 3.0339
1.4986 2.3364 0.6244
1.4307 0.0000 2.4497
```

Values from the calculation:
SG: Pm
Polymorph energy (0 for the lowest one) (meV/atom): 90
DFT formation energy (eV per atom): -0.246

What did the sixth record say?
Density functional theory data (PBE) for a relaxed structure of YMo2Ir.

The structure in POSCAR format:
```
YMo2Ir
1.0
5.2267 -1.5318 0.0000
5.2267 1.5318 0.0000
-1.3416 0.0000 4.5749
Y Mo Ir
1 2 1
Cartesian
0.0000 0.0000 0.0000
1.4425 0.0000 3.2166
7.6694 0.0000 1.3582
4.5559 0.0000 2.2874
```

Values from the calculation:
SG: C2/m
Polymorph energy (0 for the lowest one) (meV/atom): 98
DFT formation energy (eV per atom): 0.088

- The highest DFT formation energy belongs to which entry?
  number 1

- The highest DFT formation energy belongs to which entry?
  number 1